--- 1 ---
First-principles (GGA-PBE) data for an optimized crystal structure of CsHoSeO, as listed in OQMD.

It has space group P4/nmm (No. 129, origin choice 2), with a = 4.668 Å, b = 4.668 Å, c = 11.070 Å, α = 90.00°, β = 90.00° and γ = 90.00°. The asymmetric unit holds Cs at (0.250, 0.750, 0.000), Ho at (0.250, 0.250, 0.451), Se at (0.250, 0.250, 0.216) and O at (0.250, 0.750, 0.500).

=====

--- 2 ---
First-principles (GGA-PBE) data for an optimized crystal structure of CsHoSeO, as listed in OQMD.

It has space group Pmc2_1 (No. 26), with a = 4.531 Å, b = 8.775 Å, c = 6.950 Å, α = 90.00°, β = 90.00° and γ = 90.00°. The asymmetric unit holds Cs at (0.000, 0.195, 0.000), Ho at (0.500, 0.389, 0.436), Se at (0.000, 0.215, 0.504) and O at (0.500, 0.433, 0.138).

=====

--- 3 ---
First-principles (GGA-PBE) data for an optimized crystal structure of CsHoSeO, as listed in OQMD.

It has space group P2_1/c (No. 14), with a = 8.483 Å, b = 7.425 Å, c = 6.726 Å, α = 90.00°, β = 101.06° and γ = 90.00°. The asymmetric unit holds Cs at (0.091, 0.213, 0.475), Ho at (0.481, 0.629, 0.783), Se at (0.267, 0.597, 0.373) and O at (0.417, 0.146, 0.384).

=====

The structure with the most favorable energy is 3; the runner-up is 0.043 eV/atom above it.

=====

--- 1 ---
First-principles (GGA-PBE) data for an optimized crystal structure of CsHoTeO, as listed in OQMD.

It has space group P4/nmm (No. 129, origin choice 2), with a = 4.463 Å, b = 4.463 Å, c = 10.786 Å, α = 90.00°, β = 90.00° and γ = 90.00°. The asymmetric unit holds Cs at (0.250, 0.750, 0.000), Ho at (0.250, 0.250, 0.431), Te at (0.250, 0.250, 0.743) and O at (0.250, 0.750, 0.500).

=====

--- 2 ---
First-principles (GGA-PBE) data for an optimized crystal structure of CsHoTeO, as listed in OQMD.

It has space group P2_1/c (No. 14), with a = 9.889 Å, b = 7.419 Å, c = 6.723 Å, α = 90.00°, β = 100.68° and γ = 90.00°. The asymmetric unit holds Cs at (0.133, 0.078, 0.321), Ho at (0.494, 0.637, 0.794), Te at (0.269, 0.577, 0.368) and O at (0.435, 0.140, 0.381).

=====

The structure with the most favorable energy is 2; the runner-up is 0.468 eV/atom above it.

=====

--- 1 ---
First-principles (GGA-PBE) data for an optimized crystal structure of CsHoTeO, as listed in OQMD.

It has space group Pmc2_1 (No. 26), with a = 4.801 Å, b = 9.081 Å, c = 7.191 Å, α = 90.00°, β = 90.00° and γ = 90.00°. The asymmetric unit holds Cs at (0.000, 0.209, 0.000), Ho at (0.500, 0.399, 0.424), Te at (0.000, 0.213, 0.501) and O at (0.500, 0.441, 0.134).

=====

--- 2 ---
First-principles (GGA-PBE) data for an optimized crystal structure of CsHoTeO, as listed in OQMD.

It has space group P6_3mc (No. 186), with a = 3.9067 Å, b = 3.9067 Å, c = 16.2131 Å, α = 90.00°, β = 90.00° and γ = 120.00°. The asymmetric unit holds Cs at (0.3333, 0.6667, 0.0000), Ho at (0.0000, 0.0000, 0.2066), Te at (0.3333, 0.6667, 0.3302) and O at (0.3333, 0.6667, 0.6525).

=====

The structure with the most favorable energy is 1; the runner-up is 0.203 eV/atom above it.

=====

--- 1 ---
First-principles (GGA-PBE) data for an optimized crystal structure of CsSmHo, as listed in OQMD.

It has space group F-43m (No. 216), with a = 8.473 Å, b = 8.473 Å, c = 8.473 Å, α = 90.00°, β = 90.00° and γ = 90.00°. The asymmetric unit holds Cs at (0.000, 0.000, 0.000), Sm at (0.250, 0.250, 0.250) and Ho at (0.000, 0.000, 0.500).

=====

--- 2 ---
First-principles (GGA-PBE) data for an optimized crystal structure of CsSmHo, as listed in OQMD.

It has space group F-43m (No. 216), with a = 7.840 Å, b = 7.840 Å, c = 7.840 Å, α = 90.00°, β = 90.00° and γ = 90.00°. The asymmetric unit holds Cs at (0.000, 0.000, 0.000), Sm at (0.250, 0.250, 0.250) and Ho at (0.250, 0.250, 0.750).

=====

The structure with the most favorable energy is 2; the runner-up is 0.025 eV/atom above it.

=====

--- 1 ---
First-principles (GGA-PBE) data for an optimized crystal structure of CsHoTe, as listed in OQMD.

It has space group F-43m (No. 216), with a = 8.001 Å, b = 8.001 Å, c = 8.001 Å, α = 90.00°, β = 90.00° and γ = 90.00°. The asymmetric unit holds Cs at (0.000, 0.000, 0.000), Ho at (0.000, 0.000, 0.500) and Te at (0.250, 0.250, 0.250).

=====

--- 2 ---
First-principles (GGA-PBE) data for an optimized crystal structure of CsHoTe, as listed in OQMD.

It has space group F-43m (No. 216), with a = 8.331 Å, b = 8.331 Å, c = 8.331 Å, α = 90.00°, β = 90.00° and γ = 90.00°. The asymmetric unit holds Cs at (0.000, 0.000, 0.000), Ho at (0.250, 0.250, 0.250) and Te at (0.250, 0.250, 0.750).

=====

The structure with the most favorable energy is 1; the runner-up is 0.495 eV/atom above it.

=====

--- 1 ---
First-principles (GGA-PBE) data for an optimized crystal structure of CsHoTh, as listed in OQMD.

It has space group F-43m (No. 216), with a = 7.769 Å, b = 7.769 Å, c = 7.769 Å, α = 90.00°, β = 90.00° and γ = 90.00°. The asymmetric unit holds Cs at (0.000, 0.000, 0.000), Ho at (0.250, 0.250, 0.750) and Th at (0.250, 0.250, 0.250).

=====

--- 2 ---
First-principles (GGA-PBE) data for an optimized crystal structure of CsHoTh, as listed in OQMD.

It has space group F-43m (No. 216), with a = 8.283 Å, b = 8.283 Å, c = 8.283 Å, α = 90.00°, β = 90.00° and γ = 90.00°. The asymmetric unit holds Cs at (0.000, 0.000, 0.000), Ho at (0.250, 0.250, 0.250) and Th at (0.000, 0.000, 0.500).

=====

The structure with the most favorable energy is 2; the runner-up is 0.018 eV/atom above it.

=====

--- 1 ---
First-principles (GGA-PBE) data for an optimized crystal structure of CsHoZr, as listed in OQMD.

It has space group F-43m (No. 216), with a = 8.114 Å, b = 8.114 Å, c = 8.114 Å, α = 90.00°, β = 90.00° and γ = 90.00°. The asymmetric unit holds Cs at (0.000, 0.000, 0.000), Ho at (0.000, 0.000, 0.500) and Zr at (0.250, 0.250, 0.250).

=====

--- 2 ---
First-principles (GGA-PBE) data for an optimized crystal structure of CsHoZr, as listed in OQMD.

It has space group F-43m (No. 216), with a = 7.420 Å, b = 7.420 Å, c = 7.420 Å, α = 90.00°, β = 90.00° and γ = 90.00°. The asymmetric unit holds Cs at (0.000, 0.000, 0.000), Ho at (0.250, 0.250, 0.750) and Zr at (0.250, 0.250, 0.250).

=====

The structure with the most favorable energy is 1; the runner-up is 0.190 eV/atom above it.

=====

--- 1 ---
First-principles (GGA-PBE) data for an optimized crystal structure of CsSmI3, as listed in OQMD.

It has space group C2/m (No. 12), with a = 15.257 Å, b = 8.802 Å, c = 6.953 Å, α = 90.00°, β = 91.39° and γ = 90.00°. The asymmetric unit holds Cs at (0.166, 0.000, 0.250), Sm at (0.000, 0.500, 0.000), Sm at (0.000, 0.500, 0.500), I at (0.087, 0.240, 0.755) and I at (0.174, 0.500, 0.259).

=====

--- 2 ---
First-principles (GGA-PBE) data for an optimized crystal structure of CsSmI3, as listed in OQMD.

It has space group Pm-3m (No. 221), with a = 6.187 Å, b = 6.187 Å, c = 6.187 Å, α = 90.00°, β = 90.00° and γ = 90.00°. The asymmetric unit holds Cs at (0.000, 0.000, 0.000), Sm at (0.500, 0.500, 0.500) and I at (0.000, 0.500, 0.500).

=====

The structure with the most favorable energy is 1; the runner-up is 0.095 eV/atom above it.

=====

--- 1 ---
First-principles (GGA-PBE) data for an optimized crystal structure of CsInIr, as listed in OQMD.

It has space group F-43m (No. 216), with a = 7.666 Å, b = 7.666 Å, c = 7.666 Å, α = 90.00°, β = 90.00° and γ = 90.00°. The asymmetric unit holds Cs at (0.000, 0.000, 0.000), In at (0.250, 0.250, 0.750) and Ir at (0.250, 0.250, 0.250).

=====

--- 2 ---
First-principles (GGA-PBE) data for an optimized crystal structure of CsInIr, as listed in OQMD.

It has space group F-43m (No. 216), with a = 7.146 Å, b = 7.146 Å, c = 7.146 Å, α = 90.00°, β = 90.00° and γ = 90.00°. The asymmetric unit holds Cs at (0.000, 0.000, 0.000), In at (0.000, 0.000, 0.500) and Ir at (0.250, 0.250, 0.250).

=====

The structure with the most favorable energy is 2; the runner-up is 0.855 eV/atom above it.

=====

--- 1 ---
First-principles (GGA-PBE) data for an optimized crystal structure of CsLuIn, as listed in OQMD.

It has space group F-43m (No. 216), with a = 7.979 Å, b = 7.979 Å, c = 7.979 Å, α = 90.00°, β = 90.00° and γ = 90.00°. The asymmetric unit holds Cs at (0.000, 0.000, 0.000), Lu at (0.250, 0.250, 0.250) and In at (0.250, 0.250, 0.750).

=====

--- 2 ---
First-principles (GGA-PBE) data for an optimized crystal structure of CsLuIn, as listed in OQMD.

It has space group F-43m (No. 216), with a = 8.092 Å, b = 8.092 Å, c = 8.092 Å, α = 90.00°, β = 90.00° and γ = 90.00°. The asymmetric unit holds Cs at (0.000, 0.000, 0.000), Lu at (0.000, 0.000, 0.500) and In at (0.250, 0.250, 0.250).

=====

The structure with the most favorable energy is 2; the runner-up is 0.430 eV/atom above it.

=====

--- 1 ---
First-principles (GGA-PBE) data for an optimized crystal structure of Cs2NbInS6, as listed in OQMD.

It has space group R-3m (No. 166, hexagonal axes), with a = 7.3288 Å, b = 7.3288 Å, c = 37.1233 Å, α = 90.00°, β = 90.00° and γ = 120.00°. The asymmetric unit holds Cs at (0.0000, 0.0000, 0.1268), Cs at (0.0000, 0.0000, 0.2902), Nb at (0.0000, 0.0000, 0.4030), In at (0.0000, 0.0000, 0.0000), In at (0.0000, 0.0000, 0.5000), S at (0.0045, 0.5022, 0.2927) and S at (0.0398, 0.5199, 0.1178).

=====

--- 2 ---
First-principles (GGA-PBE) data for an optimized crystal structure of Cs2NbInS6, as listed in OQMD.

It has space group I4/m (No. 87), with a = 7.191 Å, b = 7.191 Å, c = 10.171 Å, α = 90.00°, β = 90.00° and γ = 90.00°. The asymmetric unit holds Cs at (0.000, 0.500, 0.250), Nb at (0.000, 0.000, 0.000), In at (0.000, 0.000, 0.500), S at (0.000, 0.000, 0.241) and S at (0.238, 0.756, 0.000).

=====

--- 3 ---
First-principles (GGA-PBE) data for an optimized crystal structure of Cs2NbInS6, as listed in OQMD.

It has space group P4/mmm (No. 123), with a = 4.365 Å, b = 4.365 Å, c = 15.197 Å, α = 90.00°, β = 90.00° and γ = 90.00°. The asymmetric unit holds Cs at (0.000, 0.000, 0.221), Nb at (0.500, 0.500, 0.500), In at (0.500, 0.500, 0.000), S at (0.000, 0.000, 0.000), S at (0.000, 0.000, 0.500) and S at (0.000, 0.500, 0.399).

=====

The structure with the most favorable energy is 1; the runner-up is 0.060 eV/atom above it.

=====

--- 1 ---
First-principles (GGA-PBE) data for an optimized crystal structure of CsInPd, as listed in OQMD.

It has space group F-43m (No. 216), with a = 7.459 Å, b = 7.459 Å, c = 7.459 Å, α = 90.00°, β = 90.00° and γ = 90.00°. The asymmetric unit holds Cs at (0.000, 0.000, 0.000), In at (0.000, 0.000, 0.500) and Pd at (0.250, 0.250, 0.250).

=====

--- 2 ---
First-principles (GGA-PBE) data for an optimized crystal structure of CsInPd, as listed in OQMD.

It has space group F-43m (No. 216), with a = 7.908 Å, b = 7.908 Å, c = 7.908 Å, α = 90.00°, β = 90.00° and γ = 90.00°. The asymmetric unit holds Cs at (0.000, 0.000, 0.000), In at (0.250, 0.250, 0.750) and Pd at (0.250, 0.250, 0.250).

=====

The structure with the most favorable energy is 1; the runner-up is 0.548 eV/atom above it.